Arrangement one

First-principles (PBE) data for a relaxed structure of B5C7, as listed in Alexandria.

Geometry as POSCAR:
```
B5C7
1.0
2.5699 0.0000 0.0000
-1.2850 2.2256 0.0000
0.0000 0.0000 13.7134
B C
5 7
direct
0.0000 0.0000 0.0000 B
0.0000 0.0000 0.1238 B
0.3333 0.6667 0.7580 B
0.6667 0.3333 0.4418 B
0.6667 0.3333 0.9203 B
0.0000 0.0000 0.4910 C
0.0000 0.0000 0.6017 C
0.3333 0.6667 0.1754 C
0.3333 0.6667 0.2855 C
0.3333 0.6667 0.6396 C
0.6667 0.3333 0.3236 C
0.6667 0.3333 0.8079 C
```

Values from the calculation:
total magnetic moment: 0.00 Bohr magnetons per cell
symmetry: No. 156


Arrangement two

First-principles (PBE) data for a relaxed structure of B5C7, as listed in Alexandria.

Geometry as POSCAR:
```
B5C7
1.0
4.3654 -1.3265 0.0000
4.3654 1.3265 0.0000
-2.8818 0.0000 8.0235
B C
5 7
direct
0.0000 0.0000 0.0000 B
0.3730 0.3730 0.1873 B
0.5265 0.5265 0.7346 B
0.6494 0.6494 0.2834 B
0.8261 0.8261 0.6689 B
0.0012 0.0012 0.8170 C
0.1368 0.1368 0.4050 C
0.2767 0.2767 0.5641 C
0.4608 0.4608 0.5359 C
0.4967 0.4967 0.0947 C
0.8295 0.8295 0.2641 C
0.9718 0.9718 0.4376 C
```

Values from the calculation:
total magnetic moment: 0.00 Bohr magnetons per cell
symmetry: No. 8


How do the structures above rank in stability at the extremes? arrangement two comes first and arrangement one comes last.